[1]
A relaxed Tb4Ag2Au crystal. Source: Alexandria, functional PBE.

Lattice parameters (Å, degrees): 8.8383 8.8383 8.8383 33.50 33.50 33.50
Closest atoms and distances in Å follow each position.
Positions (direct):
1 Tb 0.1252 0.1252 0.1252  4 Ag 3.06-3.10, 1 Au 3.13
2 Tb 0.3754 0.3754 0.3754  3 Au 3.12, 4 Ag 3.14-3.20
3 Tb 0.6246 0.6246 0.6246  3 Au 3.12, 4 Ag 3.14-3.20
4 Tb 0.8748 0.8748 0.8748  4 Ag 3.06-3.10, 1 Au 3.13
5 Ag 0.2475 0.2475 0.2475  8 Tb 3.06-3.20
6 Ag 0.7525 0.7525 0.7525  8 Tb 3.06-3.20
7 Au 0.0000 0.0000 0.0000  8 Tb 3.12-3.13



[2]
A relaxed CaZnP2 crystal. Source: Alexandria, functional PBE.

Lattice parameters (Å, degrees): 7.2184 7.2184 5.9763 90.00 90.00 90.00
Closest atoms and distances in Å follow each position.
Positions (direct):
1 Ca 0.0000 0.0000 0.0000  8 P 2.92-3.22, 2 Zn 2.99
2 Ca 0.0000 0.5000 0.2500  8 P 2.92-3.22, 2 Zn 2.99
3 Ca 0.5000 0.0000 0.7500  8 P 2.92-3.22, 2 Zn 2.99
4 Ca 0.5000 0.5000 0.5000  8 P 2.92-3.22, 2 Zn 2.99
5 Zn 0.0000 0.0000 0.5000  4 P 2.42
6 Zn 0.0000 0.5000 0.7500  4 P 2.42
7 Zn 0.5000 0.0000 0.2500  4 P 2.42
8 Zn 0.5000 0.5000 0.0000  4 P 2.42
9 P 0.1988 0.7500 0.6250  2 Zn 2.42
10 P 0.2500 0.1988 0.3750  2 Zn 2.42
11 P 0.2500 0.3012 0.8750  2 Zn 2.42
12 P 0.3012 0.7500 0.1250  2 Zn 2.42
13 P 0.6988 0.2500 0.1250  2 Zn 2.42
14 P 0.7500 0.6988 0.8750  2 Zn 2.42
15 P 0.7500 0.8012 0.3750  2 Zn 2.42
16 P 0.8012 0.2500 0.6250  2 Zn 2.42



[3]
A relaxed BeOsRu crystal. Source: Alexandria, functional PBE.

Lattice parameters (Å, degrees): 4.0062 4.0062 2.6898 90.00 90.00 120.00
Closest atoms and distances in Å follow each position.
Positions (direct):
1 Be 0.0000 0.0000 0.0000  3 Ru 2.31
2 Os 0.6667 0.3333 0.5000  6 Be 2.68, 6 Ru 2.68, 2 Os 2.69
3 Ru 0.3333 0.6667 0.0000  3 Be 2.31



[4]
A relaxed Eu2ErNi crystal. Source: Alexandria, functional PBE.

Lattice parameters (Å, degrees): 3.6666 3.6666 31.6541 90.00 90.00 120.00
Closest atoms and distances in Å follow each position.
Positions (direct):
1 Eu 0.0000 0.0000 0.1086  3 Ni 2.80
2 Eu 0.0000 0.0000 0.8914  3 Ni 2.80
3 Eu 0.3333 0.6667 0.5580  3 Ni 2.80
4 Eu 0.3333 0.6667 0.7753  3 Ni 2.80
5 Eu 0.6667 0.3333 0.2247  3 Ni 2.80
6 Eu 0.6667 0.3333 0.4420  3 Ni 2.80
7 Er 0.0000 0.0000 0.0000  2 Eu 3.44, 6 Er 3.67
8 Er 0.3333 0.6667 0.6667  2 Eu 3.44, 6 Er 3.67
9 Er 0.6667 0.3333 0.3333  2 Eu 3.44, 6 Er 3.67
10 Ni 0.0000 0.0000 0.5000  6 Eu 2.80
11 Ni 0.3333 0.6667 0.1667  6 Eu 2.80
12 Ni 0.6667 0.3333 0.8333  6 Eu 2.80



Number 1: electronic total energy -4.2465 eV per atom, formation enthalpy at 0 K -30.7 kJ per mole of atoms. Number 2: electronic total energy -3.9108 eV per atom, formation enthalpy at 0 K -37.3 kJ per mole of atoms. Number 3: electronic total energy -8.0340 eV per atom, formation enthalpy at 0 K 4.2 kJ per mole of atoms. Number 4: electronic total energy -7.4884 eV per atom, formation enthalpy at 0 K 22.7 kJ per mole of atoms.